Entry 1:
The following is a GGA-PBE calculation of an optimized crystal structure of YTmGeAu, from Alexandria via LeMat-Bulk.

```
4
Lattice="4.0428 0.0000 0.0000 0.0000 4.2943 0.0000 -2.0214 0.0000 5.4191" Properties=species:S:1:pos:R:3 pbc="T T T"
Y 2.0214 2.1472 3.8991
Ge 2.0214 2.1472 0.9333
Tm 0.0000 0.0000 1.5005
Au 0.0000 0.0000 4.5054
```

Properties
volume: 23.52 Å³ per atom
total DFT energy (no corrections): -5.576 eV/atom
symmetry: Amm2, No. 38
E_form: -0.8689 eV/atom


Entry 2:
The following is a GGA-PBE calculation of an optimized crystal structure of UGeAu3, from Alexandria via LeMat-Bulk.

```
10
Lattice="-1.5997 -3.7106 2.1139 6.6280 -1.5253 2.3385 0.0963 3.0755 5.4715" Properties=species:S:1:pos:R:3 pbc="T T T"
U 4.0839 -1.2161 5.6329
U -0.3669 -3.5518 3.0836
Ge 0.2907 -0.6515 3.7593
Ge 3.4243 -4.1210 4.9598
Au 2.5178 -1.8905 8.1826
Au 1.2956 0.1982 6.0053
Au 5.2410 -3.1465 3.1258
Au 1.2732 -2.7394 5.7501
Au 5.1022 -3.1510 7.9316
Au 2.4440 -2.0280 2.9661
```

Properties
volume: 20.20 Å³ per atom
total DFT energy (no corrections): -5.279 eV/atom
symmetry: P2_1/m, No. 11
E_form: -0.1311 eV/atom